#one
Here is LaY2H after structural relaxation from Alexandria via LeMat-Bulk. Energies are from GGA-PBE.

Cell lengths 3.516, 3.516, 9.861 Å; angles 79.73, 79.73, 60.00 degrees
Fractional positions:
Y: 0.880 0.880 0.361
Y: 0.120 0.120 0.639
H: 0.500 0.500 0.500
La: 0.000 0.000 0.000

Properties
V   103.31 Å³/cell
Spin magnetization   0.0 μB/cell

***

#two
Here is LaY2H after structural relaxation from Alexandria via LeMat-Bulk. Energies are from GGA-PBE.

Cell lengths 7.351, 7.351, 6.539 Å; angles 55.80, 55.80, 90.00 degrees
Fractional positions:
Y: 0.472 0.125 0.250
Y: 0.278 0.625 0.250
Y: 0.875 0.722 0.750
Y: 0.375 0.528 0.750
La: 0.750 0.250 0.500
La: 0.000 0.000 0.000
H: 0.250 0.750 0.500
H: 0.500 0.500 0.000

Properties
V   214.36 Å³/cell
Spin magnetization   0.0 μB/cell

***

Short version: #one is the least stable of them.